Record 1
The following is a meta-GGA SCAN calculation of a PBEsol-optimized structure of CsBiTeI2, from the Alexandria database.

a b c (Å): 6.2051 6.2051 5.8921
angles (deg): 90.00 90.00 90.00
Space group P4/mmm (No. 123)
Symmetry-distinct sites (fractional):
Cs 0.0000 0.0000 0.0000
Bi 0.5000 0.5000 0.5000
Te 0.5000 0.5000 0.0000
I 0.0000 0.5000 0.5000

Results
Calculated total energy in eV/atom: -46.11
Raw formation energy in meV per atom: -688


Record 2
The following is a meta-GGA SCAN calculation of a PBEsol-optimized structure of BaLiRh, from the Alexandria database.

a b c (Å): 6.5254 6.5254 6.5254
angles (deg): 90.00 90.00 90.00
Space group F-43m (No. 216)
Symmetry-distinct sites (fractional):
Ba 0.0000 0.0000 0.0000
Li 0.2500 0.2500 0.7500
Rh 0.0000 0.0000 0.5000

Results
DFT formation energy in meV/atom: 205.6
Calculated total energy in eV/atom: -25.03
E above lowest polymorph in meV/atom: 242.1


Record 3
The following is a meta-GGA SCAN calculation of a PBEsol-optimized structure of Zr2IrW, from the Alexandria database.

a b c (Å): 2.8778 2.8778 8.7771
angles (deg): 90.00 90.00 90.00
Space group P4mm (No. 99)
Symmetry-distinct sites (fractional):
Zr 0.0000 0.0000 0.0000
Zr 0.5000 0.5000 0.3129
Ir 0.0000 0.0000 0.5486
W 0.5000 0.5000 0.7450

Results
DFT formation energy in meV/atom: -188.8
Calculated total energy in eV/atom: -50.73


Record 4
The following is a meta-GGA SCAN calculation of a PBEsol-optimized structure of TaAlRh2, from the Alexandria database.

a b c (Å): 2.8688 2.8688 6.9028
angles (deg): 90.00 90.00 90.00
Space group P4/mmm (No. 123)
Symmetry-distinct sites (fractional):
Ta 0.0000 0.0000 0.0000
Al 0.0000 0.0000 0.5000
Rh 0.5000 0.5000 0.2727

Results
DFT formation energy in meV/atom: -963.6
Calculated total energy in eV/atom: -36.43


Record 5
The following is a meta-GGA SCAN calculation of a PBEsol-optimized structure of ZrBe3Co, from the Alexandria database.

a b c (Å): 3.8961 3.8961 3.8961
angles (deg): 90.00 90.00 90.00
Space group Pm-3m (No. 221)
Symmetry-distinct sites (fractional):
Zr 0.0000 0.0000 0.0000
Be 0.0000 0.5000 0.5000
Co 0.5000 0.5000 0.5000

Results
DFT formation energy in meV/atom: -81.4
Calculated total energy in eV/atom: -12.29


Record 6
The following is a meta-GGA SCAN calculation of a PBEsol-optimized structure of Ir2RuPt, from the Alexandria database.

a b c (Å): 5.4145 7.6504 2.7185
angles (deg): 90.00 90.00 90.00
Space group Cmmm (No. 65)
Symmetry-distinct sites (fractional):
Ir 0.2500 0.2500 0.0000
Ru 0.0000 0.0000 0.5000
Pt 0.0000 0.5000 0.5000

Results
DFT formation energy in meV/atom: 58.0
Calculated total energy in eV/atom: -61.75
E above lowest polymorph in meV/atom: 65.1


Quick rundown of DOS(E_F), same order as above: 0.75 1.20 3.73 1.70 2.28 8.61 states/eV per cell